Record 1
VASP calculation (PBEsol) on a relaxed MnOs2Au crystal.

Cell and atoms, written as POSCAR:
```
MnOs2Au
1.0
2.715 0.000 0.000
0.000 4.697 0.040
-1.358 -0.960 4.398
Au Mn Os
1 1 2
Direct
0.500 0.000 0.000
0.000 0.500 0.000
0.264 0.270 0.528
0.736 0.730 0.472
```

Output
ρ, g/cm3: 18.685
Total magnetic moment, μB per formula unit: 1.83
Volume, Å³/atom: 14.05
Total energy, eV per cell: -36.76
E above lowest polymorph, eV per atom: 0.000


Record 2
VASP calculation (PBEsol) on a relaxed Tc2P crystal.

Cell and atoms, written as POSCAR:
```
Tc2P
1.0
7.628 0.000 0.000
3.814 6.606 0.000
3.814 2.202 6.228
P Tc
8 16
Direct
0.347 0.347 0.347
0.960 0.347 0.347
0.347 0.960 0.347
0.347 0.347 0.960
0.903 0.903 0.903
0.290 0.903 0.903
0.903 0.290 0.903
0.903 0.903 0.290
0.125 0.125 0.625
0.125 0.625 0.125
0.625 0.125 0.125
0.125 0.125 0.125
0.930 0.570 0.570
0.570 0.930 0.570
0.570 0.570 0.930
0.930 0.930 0.570
0.930 0.570 0.930
0.570 0.930 0.930
0.320 0.680 0.680
0.680 0.320 0.680
0.680 0.680 0.320
0.320 0.320 0.680
0.320 0.680 0.320
0.680 0.320 0.320
```

Output
ρ, g/cm3: 9.607
Total magnetic moment, μB per formula unit: 0.00
Volume, Å³/atom: 13.08
Total energy, eV per cell: -236.42
E above lowest polymorph, eV per atom: 0.084


Record 3
VASP calculation (PBEsol) on a relaxed MnCo3 crystal.

Cell and atoms, written as POSCAR:
```
MnCo3
1.0
3.962 0.000 0.000
1.981 3.431 0.000
1.981 1.144 3.235
Mn Co
1 3
Direct
0.500 0.500 0.500
0.250 0.250 0.250
0.750 0.750 0.750
0.000 0.000 0.000
```

Output
ρ, g/cm3: 8.753
Total magnetic moment, μB per formula unit: 8.27
Volume, Å³/atom: 10.99
Total energy, eV per cell: -32.44


Record 4
VASP calculation (PBEsol) on a relaxed La2YAg crystal.

Cell and atoms, written as POSCAR:
```
La2YAg
1.0
-1.882 1.212 2.774
-0.131 -5.846 0.986
5.518 2.704 1.012
Ag La Y
1 2 1
Direct
0.000 0.500 0.000
0.000 0.000 0.500
0.500 0.500 0.500
0.500 0.000 0.000
```

Output
ρ, g/cm3: 7.073
Total magnetic moment, μB per formula unit: 0.00
Volume, Å³/atom: 27.85
Total energy, eV per cell: -20.58
E above lowest polymorph, eV per atom: 0.185


Record 5
VASP calculation (PBEsol) on a relaxed OsRuRh2 crystal.

Cell and atoms, written as POSCAR:
```
OsRuRh2
1.0
-2.490 0.836 -0.493
-0.900 -2.497 0.310
-1.031 1.290 7.400
Os Rh Ru
1 2 1
Direct
0.500 0.500 0.748
0.000 0.000 0.997
0.500 0.500 0.253
0.000 0.000 0.501
```

Output
ρ, g/cm3: 15.247
Total magnetic moment, μB per formula unit: 0.00
Volume, Å³/atom: 13.53
Total energy, eV per cell: -38.53
E above lowest polymorph, eV per atom: 0.000


Record 6
VASP calculation (PBEsol) on a relaxed Y2AgPb crystal.

Cell and atoms, written as POSCAR:
```
Y2AgPb
1.0
4.103 0.000 0.000
0.000 4.484 0.000
-2.051 0.000 5.660
Pb Y Ag
1 2 1
Direct
0.541 0.500 0.082
0.981 0.000 0.963
0.265 0.500 0.529
0.712 0.000 0.423
```

Output
ρ, g/cm3: 7.861
Total magnetic moment, μB per formula unit: 0.00
Volume, Å³/atom: 26.03
Total energy, eV per cell: -22.72


Record 7
VASP calculation (PBEsol) on a relaxed LiInAg2 crystal.

Cell and atoms, written as POSCAR:
```
LiInAg2
1.0
-2.137 2.534 -1.809
-3.000 -2.976 -0.626
-1.845 1.083 3.697
Li Ag In
1 2 1
Direct
0.500 0.000 0.000
0.000 0.500 0.000
0.000 0.000 0.500
0.500 0.500 0.500
```

Output
ρ, g/cm3: 8.134
Total magnetic moment, μB per formula unit: 0.00
Volume, Å³/atom: 17.23
Total energy, eV per cell: -12.37


Record 8
VASP calculation (PBEsol) on a relaxed BaLi2Mg2Ge2 crystal.

Cell and atoms, written as POSCAR:
```
BaLi2Mg2Ge2
1.0
4.562 0.000 0.000
2.281 3.951 0.000
2.281 1.317 8.651
Mg Ge Ba Li
2 2 1 2
Direct
0.136 0.136 0.592
0.864 0.864 0.408
0.756 0.756 0.731
0.244 0.244 0.269
0.000 0.000 0.000
0.570 0.570 0.290
0.430 0.430 0.710
```

Output
ρ, g/cm3: 3.676
Total magnetic moment, μB per formula unit: 0.00
Volume, Å³/atom: 22.27
Total energy, eV per cell: -22.51


Record 9
VASP calculation (PBEsol) on a relaxed YCl crystal.

Cell and atoms, written as POSCAR:
```
YCl
1.0
3.718 0.000 0.000
0.000 3.718 0.000
0.000 0.000 6.580
Y Cl
2 2
Direct
0.500 0.000 0.686
0.000 0.500 0.314
0.500 0.000 0.144
0.000 0.500 0.856
```

Output
ρ, g/cm3: 4.540
Total magnetic moment, μB per formula unit: 0.00
Volume, Å³/atom: 22.74
Total energy, eV per cell: -23.49
Raw formation energy, eV per atom: -1.458


Record 10
VASP calculation (PBEsol) on a relaxed SrScSb2 crystal.

Cell and atoms, written as POSCAR:
```
SrScSb2
1.0
4.384 0.000 0.000
0.000 4.384 0.000
0.000 0.000 6.154
Sb Sc Sr
2 1 1
Direct
0.000 0.000 0.876
0.500 0.500 0.374
0.000 0.000 0.375
0.500 0.500 0.874
```

Output
ρ, g/cm3: 5.281
Total magnetic moment, μB per formula unit: 0.00
Volume, Å³/atom: 29.57
Total energy, eV per cell: -20.32
Raw formation energy, eV per atom: -0.689
E above lowest polymorph, eV per atom: 0.183


Record 11
VASP calculation (PBEsol) on a relaxed ScSnBC2 crystal.

Cell and atoms, written as POSCAR:
```
ScSnBC2
1.0
-3.153 -0.802 1.845
1.931 -0.245 3.194
-0.669 4.328 0.737
Sc C B Sn
1 2 1 1
Direct
0.000 0.000 0.500
0.000 0.500 0.000
0.500 0.000 0.000
0.000 0.000 0.000
0.500 0.500 0.500
```

Output
ρ, g/cm3: 5.306
Total magnetic moment, μB per formula unit: 0.00
Volume, Å³/atom: 12.43
Total energy, eV per cell: -29.56


Record 12
VASP calculation (PBEsol) on a relaxed LaAl2Ag crystal.

Cell and atoms, written as POSCAR:
```
LaAl2Ag
1.0
3.010 0.000 0.000
0.000 5.533 0.000
-1.505 -2.766 5.149
Al Ag La
2 1 1
Direct
0.719 0.719 0.439
0.281 0.281 0.561
0.000 0.500 0.000
0.500 0.000 0.000
```

Output
ρ, g/cm3: 5.823
Total magnetic moment, μB per formula unit: 0.00
Volume, Å³/atom: 21.44
Total energy, eV per cell: -17.16
E above lowest polymorph, eV per atom: 0.267